Entry one
## RbBeCl3 (PBE)

Data for an optimized crystal structure of RbBeCl3.

symmetry: Pm-3m (221)
magnetic moment: 0.00 μB/cell
calculated volume: 222.26 Å³/cell

a = 6.057 Å, b = 6.057 Å, c = 6.057 Å
α = 90.00°, β = 90.00°, γ = 90.00°
Element x y z (fractional)
Cl  0.000  0.000  0.500
Cl  0.000  0.500  0.000
Cl  0.500  0.000  0.000
Be  0.500  0.500  0.500
Rb  0.000  0.000  0.000

---

Entry two
## RbBeCl3 (PBE)

Data for an optimized crystal structure of RbBeCl3.

symmetry: Cmc2_1 (36)
magnetic moment: 0.00 μB/cell
calculated volume: 293.31 Å³/cell

a = 5.811 Å, b = 6.993 Å, c = 8.021 Å
α = 115.84°, β = 90.00°, γ = 90.00°
Element x y z (fractional)
Be  0.231  0.426  0.853
Cl  0.096  0.559  0.118
Cl  0.596  0.441  0.882
Cl  0.152  0.598  0.718
Cl  0.152  0.119  0.718
Cl  0.652  0.402  0.282
Rb  0.649  0.847  0.695
Be  0.731  0.574  0.147
Rb  0.149  0.153  0.305
Cl  0.652  0.881  0.282

---

Entry three
## RbBeCl3 (PBE)

Data for an optimized crystal structure of RbBeCl3.

symmetry: Pm-3m (221)
magnetic moment: 0.00 μB/cell
calculated volume: 106.88 Å³/cell

a = 4.746 Å, b = 4.746 Å, c = 4.746 Å
α = 90.00°, β = 90.00°, γ = 90.00°
Element x y z (fractional)
Cl  0.500  0.000  0.000
Rb  0.500  0.500  0.500
Cl  0.000  0.000  0.500
Be  0.000  0.000  0.000
Cl  0.000  0.500  0.000

---

Entry four
## RbBeCl3 (PBE)

Data for an optimized crystal structure of RbBeCl3.

symmetry: I4/mmm (139)
magnetic moment: 0.00 μB/cell
calculated volume: 259.87 Å³/cell

a = 7.232 Å, b = 7.232 Å, c = 7.130 Å
α = 59.53°, β = 59.53°, γ = 90.00°
Element x y z (fractional)
Cl  0.187  0.187  0.625
Cl  0.711  0.289  0.000
Be  0.000  0.000  0.000
Cl  0.711  0.711  0.000
Rb  0.250  0.750  0.500
Cl  0.289  0.289  0.000
Cl  0.289  0.711  0.000
Be  0.500  0.500  0.000
Cl  0.813  0.813  0.375
Rb  0.750  0.250  0.500

---

Result of the stability comparison: entry two is the most stable of them.

---

Entry one
## BeRe2Cl (PBE)

Data for an optimized crystal structure of BeRe2Cl.

symmetry: I-42d (122)
magnetic moment: 0.00 μB/cell
calculated volume: 132.35 Å³/cell

a = 5.330 Å, b = 5.330 Å, c = 5.992 Å
α = 63.59°, β = 63.59°, γ = 90.00°
Element x y z (fractional)
Re  0.375  0.391  0.750
Cl  0.000  0.000  0.000
Be  0.500  0.500  0.000
Cl  0.750  0.250  0.500
Re  0.141  0.625  0.250
Re  0.609  0.125  0.250
Re  0.875  0.859  0.750
Be  0.250  0.750  0.500

---

Entry two
## BeRe2Cl (PBE)

Data for an optimized crystal structure of BeRe2Cl.

symmetry: Pm (6)
magnetic moment: 0.00 μB/cell
calculated volume: 72.50 Å³/cell

a = 2.979 Å, b = 3.001 Å, c = 8.416 Å
α = 74.49°, β = 90.00°, γ = 90.00°
Element x y z (fractional)
Re  0.000  0.804  0.054
Cl  0.500  0.981  0.816
Re  0.500  0.161  0.244
Be  0.000  0.554  0.386

---

Result of the stability comparison: entry two is the most stable of them.

---

Entry one
## BeRe2Cl (PBE)

Data for an optimized crystal structure of BeRe2Cl.

symmetry: Cm (8)
magnetic moment: 0.00 μB/cell
calculated volume: 55.61 Å³/cell

a = 4.435 Å, b = 4.435 Å, c = 4.738 Å
α = 73.36°, β = 73.36°, γ = 38.78°
Element x y z (fractional)
Be  0.509  0.509  0.406
Re  0.003  0.003  0.018
Cl  0.753  0.753  0.738
Re  0.235  0.235  0.338

---

Entry two
## BeRe2Cl (PBE)

Data for an optimized crystal structure of BeRe2Cl.

symmetry: Fm-3m (225)
magnetic moment: 0.00 μB/cell
calculated volume: 51.30 Å³/cell

a = 4.171 Å, b = 4.171 Å, c = 4.171 Å
α = 60.00°, β = 60.00°, γ = 60.00°
Element x y z (fractional)
Cl  0.500  0.500  0.500
Be  0.000  0.000  0.000
Re  0.750  0.750  0.750
Re  0.250  0.250  0.250

---

Entry three
## BeRe2Cl (PBE)

Data for an optimized crystal structure of BeRe2Cl.

symmetry: C2/m (12)
magnetic moment: 0.00 μB/cell
calculated volume: 58.99 Å³/cell

a = 4.279 Å, b = 5.226 Å, c = 3.039 Å
α = 73.71°, β = 88.58°, γ = 113.71°
Element x y z (fractional)
Re  0.500  0.000  0.500
Be  0.000  0.500  0.500
Re  0.000  0.000  0.000
Cl  0.500  0.500  0.000

---

Result of the stability comparison: entry one is the most stable of them.

---

Entry one
## Be2ReCl (PBE)

Data for an optimized crystal structure of Be2ReCl.

symmetry: Imm2 (44)
magnetic moment: 0.00 μB/cell
calculated volume: 62.38 Å³/cell

a = 6.413 Å, b = 6.413 Å, c = 6.413 Å
α = 155.46°, β = 145.19°, γ = 43.05°
Element x y z (fractional)
Cl  0.429  0.429  0.000
Be  0.711  0.211  0.500
Be  0.101  0.101  0.000
Re  0.259  0.759  0.500

---

Entry two
## Be2ReCl (PBE)

Data for an optimized crystal structure of Be2ReCl.

symmetry: Immm (71)
magnetic moment: 0.00 μB/cell
calculated volume: 49.07 Å³/cell

a = 4.800 Å, b = 4.800 Å, c = 4.800 Å
α = 146.46°, β = 125.62°, γ = 65.42°
Element x y z (fractional)
Re  0.250  0.750  0.500
Be  0.992  0.992  0.000
Be  0.508  0.508  0.000
Cl  0.750  0.250  0.500

---

Result of the stability comparison: entry one is the most stable of them.

---

Entry one
## Be2ReCl (PBE)

Data for an optimized crystal structure of Be2ReCl.

symmetry: Pmm2 (25)
magnetic moment: 0.00 μB/cell
calculated volume: 65.25 Å³/cell

a = 2.883 Å, b = 3.015 Å, c = 7.506 Å
α = 90.00°, β = 90.00°, γ = 90.00°
Element x y z (fractional)
Cl  0.000  0.000  0.356
Be  0.000  0.000  0.040
Re  0.500  0.500  0.904
Be  0.500  0.500  0.200

---

Entry two
## Be2ReCl (PBE)

Data for an optimized crystal structure of Be2ReCl.

symmetry: C2/m (12)
magnetic moment: 0.00 μB/cell
calculated volume: 55.05 Å³/cell

a = 3.010 Å, b = 3.010 Å, c = 7.600 Å
α = 104.17°, β = 104.17°, γ = 56.34°
Element x y z (fractional)
Be  0.652  0.652  0.481
Be  0.848  0.848  0.019
Cl  0.750  0.750  0.750
Re  0.250  0.250  0.250

---

Entry three
## Be2ReCl (PBE)

Data for an optimized crystal structure of Be2ReCl.

symmetry: I-4m2 (119)
magnetic moment: 0.00 μB/cell
calculated volume: 50.44 Å³/cell

a = 5.181 Å, b = 5.181 Å, c = 5.181 Å
α = 142.83°, β = 142.83°, γ = 53.58°
Element x y z (fractional)
Be  0.250  0.750  0.500
Be  0.000  0.000  0.000
Cl  0.500  0.500  0.000
Re  0.750  0.250  0.500

---

Result of the stability comparison: entry two is the most stable of them.

---

Entry one
## Be2ReCl (PBE)

Data for an optimized crystal structure of Be2ReCl.

symmetry: Cm (8)
magnetic moment: 0.00 μB/cell
calculated volume: 62.11 Å³/cell

a = 4.139 Å, b = 4.139 Å, c = 5.794 Å
α = 83.59°, β = 83.59°, γ = 39.06°
Element x y z (fractional)
Be  0.957  0.957  0.016
Re  0.221  0.221  0.148
Cl  0.626  0.626  0.502
Be  0.695  0.695  0.833

---

Entry two
## Be2ReCl (PBE)

Data for an optimized crystal structure of Be2ReCl.

symmetry: F-43m (216)
magnetic moment: 0.32 μB/cell
calculated volume: 49.47 Å³/cell

a = 4.121 Å, b = 4.121 Å, c = 4.121 Å
α = 60.00°, β = 60.00°, γ = 60.00°
Last column: magnetic moment on the atom in μB.
Element x y z (fractional)
Re  0.750  0.750  0.750  0.26
Cl  0.500  0.500  0.500  0.02
Be  0.000  0.000  0.000  0.01
Be  0.250  0.250  0.250  -0.01

---

Result of the stability comparison: entry one is the most stable of them.

---

Entry one
## Be2ReCl (PBE)

Data for an optimized crystal structure of Be2ReCl.

symmetry: P4/mmm (123)
magnetic moment: 0.00 μB/cell
calculated volume: 49.98 Å³/cell

a = 4.223 Å, b = 4.223 Å, c = 2.802 Å
α = 90.00°, β = 90.00°, γ = 90.00°
Element x y z (fractional)
Re  0.000  0.500  0.500
Be  0.500  0.500  0.000
Be  0.000  0.000  0.000
Cl  0.500  0.000  0.500

---

Entry two
## Be2ReCl (PBE)

Data for an optimized crystal structure of Be2ReCl.

symmetry: Cmmm (65)
magnetic moment: 0.00 μB/cell
calculated volume: 52.47 Å³/cell

a = 2.807 Å, b = 2.807 Å, c = 7.204 Å
α = 90.00°, β = 90.00°, γ = 112.44°
Element x y z (fractional)
Re  0.500  0.500  0.750
Be  0.000  0.000  0.989
Be  0.000  0.000  0.511
Cl  0.500  0.500  0.250

---

Result of the stability comparison: entry two is the most stable of them.

---

Entry one
## Be2ReCl (PBE)

Data for an optimized crystal structure of Be2ReCl.

symmetry: P2/m (10)
magnetic moment: 0.00 μB/cell
calculated volume: 53.18 Å³/cell

a = 2.951 Å, b = 3.125 Å, c = 5.964 Å
α = 75.22°, β = 90.00°, γ = 90.00°
Element x y z (fractional)
Cl  0.500  0.250  0.250
Re  0.500  0.750  0.750
Be  0.000  0.335  0.560
Be  0.000  0.165  0.940

---

Entry two
## Be2ReCl (PBE)

Data for an optimized crystal structure of Be2ReCl.

symmetry: I4/mmm (139)
magnetic moment: 0.00 μB/cell
calculated volume: 48.55 Å³/cell

a = 4.683 Å, b = 4.683 Å, c = 4.683 Å
α = 136.20°, β = 136.20°, γ = 63.67°
Element x y z (fractional)
Be  0.000  0.000  0.000
Cl  0.250  0.750  0.500
Re  0.750  0.250  0.500
Be  0.500  0.500  0.000

---

Entry three
## Be2ReCl (PBE)

Data for an optimized crystal structure of Be2ReCl.

symmetry: Fm-3m (225)
magnetic moment: 0.00 μB/cell
calculated volume: 50.50 Å³/cell

a = 4.149 Å, b = 4.149 Å, c = 4.149 Å
α = 60.00°, β = 60.00°, γ = 60.00°
Element x y z (fractional)
Be  0.750  0.750  0.750
Re  0.500  0.500  0.500
Cl  0.000  0.000  0.000
Be  0.250  0.250  0.250

---

Result of the stability comparison: entry one is the most stable of them.